La2As | PBE | optimized geometry

Structure (POSCAR):
```
La2As
1.0
4.291 0.000 0.000
0.000 16.676 0.000
0.000 0.000 4.760
La As
8 4
Direct
0.000 0.069 0.250 La
0.000 0.248 0.750 La
0.000 0.752 0.250 La
0.000 0.931 0.750 La
0.500 0.252 0.250 La
0.500 0.431 0.750 La
0.500 0.569 0.250 La
0.500 0.748 0.750 La
0.000 0.397 0.250 As
0.000 0.603 0.750 As
0.500 0.103 0.750 As
0.500 0.897 0.250 As
```

Computed properties:
The energy of formation from the pure elements is -0.812 eV per atom. Its crystal system is orthorhombic. As for the total magnetization: 0.0 Bohr magnetons per cell. The calculation puts the density of states at the Fermi level at 10.63 states/eV/cell. The symmetry is Cmcm.